## A
DFT (GGA-PBE) results for crystalline HfTa2Nb at its relaxed geometry.

a b c (Å): 2.829 4.888 11.348
angles (deg): 90.00 97.16 90.00
Fractional coordinates of all 8 atoms:
Hf: 0.405 0.250 0.811
Hf: 0.595 0.750 0.189
Nb: 0.843 0.750 0.686
Nb: 0.157 0.250 0.314
Ta: 0.969 0.750 0.938
Ta: 0.220 0.750 0.441
Ta: 0.031 0.250 0.062
Ta: 0.780 0.250 0.559

## Properties
Crystal system: orthorhombic
Total magnetization: 0.00 μB per atom
Calculated density: 13.509 g/cm3
SG: Cmcm (63)



## B
DFT (GGA-PBE) results for crystalline HfTa2Nb at its relaxed geometry.

a b c (Å): 3.366 4.810 5.557
angles (deg): 115.67 107.63 90.00
Fractional coordinates of all 4 atoms:
Ta: 0.238 0.238 0.476
Ta: 0.762 0.762 0.524
Hf: 0.000 0.500 0.000
Nb: 0.500 0.000 0.000

## Properties
Crystal system: orthorhombic
Total magnetization: 0.00 μB per atom
Calculated density: 13.771 g/cm3
SG: Immm (71)



Last place for stability: A



## A
DFT (GGA-PBE) results for crystalline HfTaNb at its relaxed geometry.

a b c (Å): 3.383 3.383 5.660
angles (deg): 107.39 107.39 90.00
Fractional coordinates of all 3 atoms:
Nb: 0.937 0.937 0.873
Ta: 0.298 0.298 0.596
Hf: 0.615 0.615 0.231

## Properties
Crystal system: tetragonal
Total magnetization: 0.00 μB per atom
Calculated density: 12.795 g/cm3
SG: I4mm (107)



## B
DFT (GGA-PBE) results for crystalline HfTaNb at its relaxed geometry.

a b c (Å): 4.882 4.882 5.754
angles (deg): 90.00 90.00 120.00
Fractional coordinates of all 6 atoms:
Ta: 0.167 0.833 0.250
Ta: 0.833 0.167 0.750
Nb: 0.833 0.167 0.250
Nb: 0.167 0.833 0.750
Hf: 0.500 0.500 0.500
Hf: 0.500 0.500 0.000

## Properties
Crystal system: hexagonal
Total magnetization: 0.00 μB per atom
Calculated density: 12.649 g/cm3
SG: P6_3/mmc (194)



## C
DFT (GGA-PBE) results for crystalline HfTaNb at its relaxed geometry.

a b c (Å): 3.352 3.352 10.451
angles (deg): 90.00 90.00 90.00
Fractional coordinates of all 6 atoms:
Nb: 0.500 0.000 0.420
Nb: 0.000 0.500 0.580
Ta: 0.500 0.000 0.729
Ta: 0.000 0.500 0.271
Hf: 0.000 0.500 0.900
Hf: 0.500 0.000 0.100

## Properties
Crystal system: tetragonal
Total magnetization: 0.00 μB per atom
Calculated density: 12.797 g/cm3
SG: P4/nmm (129)



## D
DFT (GGA-PBE) results for crystalline HfTaNb at its relaxed geometry.

a b c (Å): 2.980 4.755 4.755
angles (deg): 120.00 90.00 90.00
Fractional coordinates of all 3 atoms:
Ta: 0.946 0.000 0.000
Hf: 0.350 0.667 0.333
Nb: 0.703 0.333 0.667

## Properties
Crystal system: trigonal
Total magnetization: 0.00 μB per atom
Calculated density: 12.872 g/cm3
SG: P3m1 (156)



Last place for stability: B



## A
DFT (GGA-PBE) results for crystalline Hf2TaNb at its relaxed geometry.

a b c (Å): 3.414 3.414 6.845
angles (deg): 90.00 90.00 90.00
Fractional coordinates of all 4 atoms:
Nb: 0.500 0.500 0.000
Hf: 0.000 0.000 0.249
Hf: 0.000 0.000 0.751
Ta: 0.500 0.500 0.500

## Properties
Crystal system: tetragonal
Total magnetization: 0.00 μB per atom
Calculated density: 13.133 g/cm3
SG: P4/mmm (123)



## B
DFT (GGA-PBE) results for crystalline Hf2TaNb at its relaxed geometry.

a b c (Å): 4.834 4.834 4.834
angles (deg): 60.00 60.00 60.00
Fractional coordinates of all 4 atoms:
Hf: 0.750 0.750 0.750
Hf: 0.250 0.250 0.250
Nb: 0.000 0.000 0.000
Ta: 0.500 0.500 0.500

## Properties
Crystal system: cubic
Total magnetization: 0.00 μB per atom
Calculated density: 13.113 g/cm3
SG: Fm-3m (225)



## C
DFT (GGA-PBE) results for crystalline Hf2TaNb at its relaxed geometry.

a b c (Å): 7.619 7.619 6.111
angles (deg): 51.44 51.44 90.00
Fractional coordinates of all 8 atoms:
Ta: 0.000 0.000 0.000
Ta: 0.750 0.250 0.500
Hf: 0.875 0.873 0.750
Hf: 0.127 0.625 0.250
Hf: 0.623 0.125 0.250
Hf: 0.375 0.377 0.750
Nb: 0.250 0.750 0.500
Nb: 0.500 0.500 0.000

## Properties
Crystal system: tetragonal
Total magnetization: 0.00 μB per atom
Calculated density: 12.513 g/cm3
SG: I-42d (122)



## D
DFT (GGA-PBE) results for crystalline Hf2TaNb at its relaxed geometry.

a b c (Å): 3.069 3.069 10.166
angles (deg): 81.32 81.32 60.00
Fractional coordinates of all 4 atoms:
Nb: 0.667 0.667 0.999
Hf: 0.250 0.250 0.251
Hf: 0.084 0.084 0.749
Ta: 0.500 0.500 0.501

## Properties
Crystal system: trigonal
Total magnetization: 0.00 μB per atom
Calculated density: 12.832 g/cm3
SG: R3m (160)



Last place for stability: C



## A
DFT (GGA-PBE) results for crystalline Hf2TaNb at its relaxed geometry.

a b c (Å): 2.988 2.988 10.913
angles (deg): 82.13 82.13 60.00
Fractional coordinates of all 4 atoms:
Nb: 0.500 0.500 0.500
Hf: 0.087 0.087 0.738
Hf: 0.913 0.913 0.262
Ta: 0.000 0.000 0.000

## Properties
Crystal system: trigonal
Total magnetization: 0.00 μB per atom
Calculated density: 12.576 g/cm3
SG: R-3m (166)



## B
DFT (GGA-PBE) results for crystalline Hf2TaNb at its relaxed geometry.

a b c (Å): 3.042 5.142 5.142
angles (deg): 90.00 90.00 90.00
Fractional coordinates of all 4 atoms:
Nb: 0.500 0.500 0.500
Ta: 0.500 0.000 0.000
Hf: 0.000 0.500 0.000
Hf: 0.000 0.000 0.500

## Properties
Crystal system: tetragonal
Total magnetization: 0.00 μB per atom
Calculated density: 13.025 g/cm3
SG: P4/mmm (123)



Last place for stability: A



## A
DFT (GGA-PBE) results for crystalline HfTaNbTc at its relaxed geometry.

a b c (Å): 3.234 3.234 6.875
angles (deg): 90.00 90.00 90.00
Fractional coordinates of all 4 atoms:
Nb: 0.108 0.430 0.107
Ta: 0.608 0.930 0.850
Tc: 0.608 0.930 0.329
Hf: 0.108 0.430 0.574

## Properties
Crystal system: tetragonal
Total magnetization: 0.00 μB per atom
Calculated density: 12.712 g/cm3
SG: P4mm (99)



## B
DFT (GGA-PBE) results for crystalline HfTaNbTc at its relaxed geometry.

a b c (Å): 4.646 4.646 4.646
angles (deg): 60.00 60.00 60.00
Fractional coordinates of all 4 atoms:
Ta: 0.000 0.000 0.000
Nb: 0.750 0.750 0.750
Hf: 0.500 0.500 0.500
Tc: 0.250 0.250 0.250

## Properties
Crystal system: cubic
Total magnetization: 0.00 μB per atom
Calculated density: 12.889 g/cm3
SG: F-43m (216)



Last place for stability: B



## A
DFT (GGA-PBE) results for crystalline HfNb3Tc at its relaxed geometry.

a b c (Å): 4.813 4.813 4.813
angles (deg): 90.00 90.00 90.00
Fractional coordinates of all 5 atoms:
Hf: 0.000 0.000 0.000
Nb: 0.000 0.000 0.500
Nb: 0.000 0.500 0.000
Nb: 0.500 0.000 0.000
Tc: 0.500 0.500 0.500

## Properties
Crystal system: cubic
Total magnetization: 0.00 μB per atom
Calculated density: 8.268 g/cm3
SG: Pm-3m (221)



## B
DFT (GGA-PBE) results for crystalline HfNb3Tc at its relaxed geometry.

a b c (Å): 5.131 5.131 9.567
angles (deg): 105.56 105.56 90.00
Fractional coordinates of all 10 atoms:
Nb: 0.121 0.874 0.747
Nb: 0.126 0.374 0.253
Nb: 0.710 0.710 0.420
Nb: 0.126 0.879 0.253
Nb: 0.290 0.290 0.580
Nb: 0.626 0.874 0.747
Tc: 0.000 0.000 0.000
Tc: 0.250 0.750 0.500
Hf: 0.933 0.433 0.866
Hf: 0.567 0.067 0.134

## Properties
Crystal system: tetragonal
Total magnetization: 0.00 μB per atom
Calculated density: 7.911 g/cm3
SG: I-4m2 (119)



Last place for stability: A



## A
DFT (GGA-PBE) results for crystalline HfNb3Te at its relaxed geometry.

a b c (Å): 4.976 4.976 4.976
angles (deg): 90.00 90.00 90.00
Fractional coordinates of all 5 atoms:
Te: 0.500 0.500 0.500
Hf: 0.000 0.000 0.000
Nb: 0.000 0.000 0.500
Nb: 0.500 0.000 0.000
Nb: 0.000 0.500 0.000

## Properties
Crystal system: cubic
Total magnetization: 0.00 μB per atom
Calculated density: 7.881 g/cm3
SG: Pm-3m (221)



## B
DFT (GGA-PBE) results for crystalline HfNb3Te at its relaxed geometry.

a b c (Å): 4.985 4.985 4.985
angles (deg): 90.00 90.00 90.00
Fractional coordinates of all 5 atoms:
Nb: 0.000 0.500 0.000
Nb: 0.000 0.000 0.500
Nb: 0.500 0.000 0.000
Hf: 0.500 0.500 0.500
Te: 0.000 0.000 0.000

## Properties
Crystal system: cubic
Total magnetization: 0.00 μB per atom
Calculated density: 7.840 g/cm3
SG: Pm-3m (221)



Last place for stability: A



## A
DFT (GGA-PBE) results for crystalline HfNbTe2 at its relaxed geometry.

a b c (Å): 4.973 4.973 9.465
angles (deg): 74.77 74.77 90.00
Fractional coordinates of all 8 atoms:
Te: 0.606 0.125 0.250
Te: 0.375 0.394 0.750
Te: 0.875 0.856 0.750
Te: 0.144 0.625 0.250
Hf: 0.000 0.000 0.000
Hf: 0.750 0.250 0.500
Nb: 0.250 0.750 0.500
Nb: 0.500 0.500 0.000

## Properties
Crystal system: tetragonal
Total magnetization: 0.00 μB per atom
Calculated density: 8.048 g/cm3
SG: I-42d (122)



## B
DFT (GGA-PBE) results for crystalline HfNbTe2 at its relaxed geometry.

a b c (Å): 4.932 4.932 4.932
angles (deg): 60.00 60.00 60.00
Fractional coordinates of all 4 atoms:
Te: 0.750 0.750 0.750
Te: 0.250 0.250 0.250
Hf: 0.500 0.500 0.500
Nb: 0.000 0.000 0.000

## Properties
Crystal system: cubic
Total magnetization: 0.00 μB per atom
Calculated density: 10.306 g/cm3
SG: Fm-3m (225)



## C
DFT (GGA-PBE) results for crystalline HfNbTe2 at its relaxed geometry.

a b c (Å): 9.878 9.878 9.878
angles (deg): 20.14 20.14 20.14
Fractional coordinates of all 4 atoms:
Nb: 0.500 0.500 0.500
Te: 0.099 0.099 0.099
Te: 0.901 0.901 0.901
Hf: 0.000 0.000 0.000

## Properties
Crystal system: trigonal
Total magnetization: 0.00 μB per atom
Calculated density: 8.745 g/cm3
SG: R-3m (166)



Last place for stability: A



## A
DFT (GGA-PBE) results for crystalline HfThNb2 at its relaxed geometry.

a b c (Å): 4.991 4.991 4.991
angles (deg): 60.00 60.00 60.00
Fractional coordinates of all 4 atoms:
Nb: 0.750 0.750 0.750
Nb: 0.250 0.250 0.250
Hf: 0.500 0.500 0.500
Th: 0.000 0.000 0.000

## Properties
Crystal system: cubic
Total magnetization: 0.00 μB per atom
Calculated density: 11.264 g/cm3
SG: Fm-3m (225)



## B
DFT (GGA-PBE) results for crystalline HfThNb2 at its relaxed geometry.

a b c (Å): 3.531 3.531 7.067
angles (deg): 90.00 90.00 90.00
Fractional coordinates of all 4 atoms:
Th: 0.500 0.500 0.500
Hf: 0.500 0.500 0.000
Nb: 0.000 0.000 0.238
Nb: 0.000 0.000 0.762

## Properties
Crystal system: tetragonal
Total magnetization: 0.00 μB per atom
Calculated density: 11.241 g/cm3
SG: P4/mmm (123)



Last place for stability: B



## A
DFT (GGA-PBE) results for crystalline HfTiNb at its relaxed geometry.

a b c (Å): 2.973 4.730 8.200
angles (deg): 90.00 91.01 90.00
Fractional coordinates of all 6 atoms:
Hf: 0.131 0.500 0.010
Hf: 0.677 0.000 0.194
Ti: 0.702 0.500 0.679
Ti: 0.207 0.500 0.365
Nb: 0.410 0.000 0.839
Nb: 0.108 0.000 0.529

## Properties
Crystal system: monoclinic
Total magnetization: 0.00 μB per atom
Calculated density: 9.195 g/cm3
SG: Pm (6)



## B
DFT (GGA-PBE) results for crystalline HfTiNb at its relaxed geometry.

a b c (Å): 4.731 2.922 8.531
angles (deg): 80.14 90.00 90.00
Fractional coordinates of all 6 atoms:
Ti: 0.750 0.874 0.252
Ti: 0.250 0.126 0.748
Nb: 0.750 0.713 0.574
Nb: 0.250 0.287 0.426
Hf: 0.250 0.450 0.099
Hf: 0.750 0.550 0.901

## Properties
Crystal system: orthorhombic
Total magnetization: 0.00 μB per atom
Calculated density: 9.126 g/cm3
SG: Cmcm (63)



## C
DFT (GGA-PBE) results for crystalline HfTiNb at its relaxed geometry.

a b c (Å): 4.734 4.734 5.881
angles (deg): 89.99 90.00 120.00
Fractional coordinates of all 6 atoms:
Hf: 0.667 0.333 0.111
Hf: 0.333 0.667 0.889
Nb: 0.000 0.000 0.737
Nb: 0.000 0.000 0.263
Ti: 0.667 0.334 0.603
Ti: 0.333 0.666 0.397

## Properties
Crystal system: trigonal
Total magnetization: 0.00 μB per atom
Calculated density: 9.288 g/cm3
SG: P-3m1 (164)



Last place for stability: B